Here is a geometry-optimized Zr2WBr structure from Alexandria via LeMat-Bulk. Energies are from GGA-PBE.

Results
Formation energy from raw total energies (kcal/mol of atoms): 6.9
Space-group type: No. 99
Fermi-level density of states (states/eV/f.u.): 2.980
Size of the total moment (μB per atom): 0.00
Distance to the lowest polymorph of the same formula (meV per atom): 573
V (Å³/f.u.): 93.8

Structure (extended XYZ):
```
4
Lattice="3.490 0.000 0.000 0.000 3.490 0.000 0.000 0.000 7.698" Properties=species:S:1:pos:R:3 pbc="T T T"
Zr 1.745 1.745 1.728
Zr 0.000 0.000 7.684
Br 0.000 0.000 3.370
W 1.745 1.745 6.461
```